Compound: Pa2TiGe2
Source: the Alexandria database
Functional: PBE
Structure: relaxed

The space group is P4/mbm (No. 127) and the conventional cell measures 6.990, 6.990 and 4.367 Å, with angles of 90.00, 90.00 and 90.00 degrees. The asymmetric unit holds Pa at (0.176, 0.324, 0.000), Ti at (0.000, 0.000, 0.500) and Ge at (0.132, 0.632, 0.500).

The calculation puts the relative energy among the computed polymorphs at 0.0 kJ per mole of atoms.


Compound: Pa2TiGe
Source: the Alexandria database
Functional: PBE
Structure: relaxed

The space group is P4/mmm (No. 123) and the conventional cell measures 3.790, 3.790 and 6.231 Å, with angles of 90.00, 90.00 and 90.00 degrees. The asymmetric unit holds Pa at (0.000, 0.000, 0.224), Ti at (0.500, 0.500, 0.500) and Ge at (0.500, 0.500, 0.000).

The calculation puts the relative energy among the computed polymorphs at 18.1 kJ per mole of atoms.


Compound: PaTi3Ge2
Source: the Alexandria database
Functional: PBE
Structure: relaxed

The space group is C2/m (No. 12) and the conventional cell measures 16.324, 3.866 and 8.022 Å, with angles of 90.00, 116.36 and 90.00 degrees. The asymmetric unit holds Pa at (0.142, 0.000, 0.054), Ti at (0.054, 0.000, 0.406), Ti at (0.090, 0.500, 0.686), Ti at (0.186, 0.500, 0.458), Ge at (0.024, 0.500, 0.165) and Ge at (0.211, 0.000, 0.732).


Compound: PaTlGe
Source: the Alexandria database
Functional: PBE
Structure: relaxed

The space group is Cmcm (No. 63) and the conventional cell measures 4.642, 16.067 and 3.903 Å, with angles of 90.00, 90.00 and 90.00 degrees. The asymmetric unit holds Pa at (0.000, 0.083, 0.250), Tl at (0.000, 0.268, 0.750) and Ge at (0.000, 0.441, 0.250).


Compound: Pa2TlGe
Source: the Alexandria database
Functional: PBE
Structure: relaxed

The space group is R-3m (No. 166, hexagonal axes) and the conventional cell measures 3.7168, 3.7168 and 26.7980 Å, with angles of 90.00, 90.00 and 120.00 degrees. The asymmetric unit holds Pa at (0.0000, 0.0000, 0.2367), Tl at (0.0000, 0.0000, 0.0000) and Ge at (0.0000, 0.0000, 0.5000).

The calculation puts the relative energy among the computed polymorphs at 11.7 kJ per mole of atoms.


Compound: PaTlGe2
Source: the Alexandria database
Functional: PBE
Structure: relaxed

The space group is P4/mmm (No. 123) and the conventional cell measures 4.618, 4.618 and 4.095 Å, with angles of 90.00, 90.00 and 90.00 degrees. The asymmetric unit holds Pa at (0.000, 0.000, 0.000), Tl at (0.500, 0.500, 0.000) and Ge at (0.000, 0.500, 0.500).

The calculation puts the relative energy among the computed polymorphs at 0.0 kJ per mole of atoms.


Compound: Pa2TlGe
Source: the Alexandria database
Functional: PBE
Structure: relaxed

The space group is P4/mmm (No. 123) and the conventional cell measures 4.685, 4.685 and 4.382 Å, with angles of 90.00, 90.00 and 90.00 degrees. The asymmetric unit holds Pa at (0.000, 0.500, 0.000), Tl at (0.000, 0.000, 0.500) and Ge at (0.500, 0.500, 0.500).

The calculation puts the relative energy among the computed polymorphs at 8.3 kJ per mole of atoms.


Compound: Pa2TlGe
Source: the Alexandria database
Functional: PBE
Structure: relaxed

The space group is P4/mmm (No. 123) and the conventional cell measures 3.440, 3.440 and 8.194 Å, with angles of 90.00, 90.00 and 90.00 degrees. The asymmetric unit holds Pa at (0.000, 0.000, 0.214), Tl at (0.500, 0.500, 0.500) and Ge at (0.500, 0.500, 0.000).

The calculation puts the relative energy among the computed polymorphs at 0.0 kJ per mole of atoms.


Compound: PaTlGe2
Source: the Alexandria database
Functional: PBE
Structure: relaxed

The space group is R-3m (No. 166, hexagonal axes) and the conventional cell measures 4.5001, 4.5001 and 17.0257 Å, with angles of 90.00, 90.00 and 120.00 degrees. The asymmetric unit holds Pa at (0.0000, 0.0000, 0.0000), Tl at (0.0000, 0.0000, 0.5000) and Ge at (0.0000, 0.0000, 0.2599).

The calculation puts the relative energy among the computed polymorphs at 33.1 kJ per mole of atoms.


Compound: TmPa5Ge6
Source: the Alexandria database
Functional: PBE
Structure: relaxed

The space group is C2/m (No. 12) and the conventional cell measures 7.152, 12.391 and 7.155 Å, with angles of 90.00, 109.49 and 90.00 degrees. The asymmetric unit holds Tm at (0.000, 0.000, 0.000), Pa at (0.000, 0.167, 0.500), Pa at (0.000, 0.334, 0.000), Pa at (0.000, 0.500, 0.500), Ge at (0.249, 0.333, 0.750) and Ge at (0.250, 0.000, 0.749).


Compound: TmPaGe2
Source: the Alexandria database
Functional: PBE
Structure: relaxed

The space group is I4_1/amd (No. 141, origin choice 2) and the conventional cell measures 5.824, 5.824 and 11.669 Å, with angles of 90.00, 90.00 and 90.00 degrees. The asymmetric unit holds Tm at (0.000, 0.250, 0.375), Pa at (0.000, 0.250, 0.875) and Ge at (0.000, 0.250, 0.122).

The calculation puts the relative energy among the computed polymorphs at 0.1 kJ per mole of atoms.


Compound: TmPaGe2
Source: the Alexandria database
Functional: PBE
Structure: relaxed

The space group is Fm-3m (No. 225) and the conventional cell measures 7.062, 7.062 and 7.062 Å, with angles of 90.00, 90.00 and 90.00 degrees. The asymmetric unit holds Tm at (0.000, 0.000, 0.000), Pa at (0.000, 0.000, 0.500) and Ge at (0.250, 0.250, 0.250).

The calculation puts the relative energy among the computed polymorphs at 16.8 kJ per mole of atoms.


Compound: TmPa3Ge4
Source: the Alexandria database
Functional: PBE
Structure: relaxed

The space group is P4/mmm (No. 123) and the conventional cell measures 7.515, 7.515 and 3.087 Å, with angles of 90.00, 90.00 and 90.00 degrees. The asymmetric unit holds Tm at (0.000, 0.000, 0.000), Pa at (0.000, 0.500, 0.000), Pa at (0.500, 0.500, 0.000) and Ge at (0.250, 0.250, 0.500).


Compound: TmPa3Ge5
Source: the Alexandria database
Functional: PBE
Structure: relaxed

The space group is P6_3/mcm (No. 193) and the conventional cell measures 8.7182, 8.7182 and 5.9454 Å, with angles of 90.00, 90.00 and 120.00 degrees. The asymmetric unit holds Tm at (0.0000, 0.0000, 0.0000), Pa at (0.0000, 0.3838, 0.2500), Ge at (0.0000, 0.2783, 0.7500) and Ge at (0.3333, 0.6667, 0.0000).


Compound: TmPaGe4
Source: the Alexandria database
Functional: PBE
Structure: relaxed

The space group is F-43m (No. 216) and the conventional cell measures 7.853, 7.853 and 7.853 Å, with angles of 90.00, 90.00 and 90.00 degrees. The asymmetric unit holds Tm at (0.000, 0.000, 0.000), Pa at (0.250, 0.250, 0.250) and Ge at (0.126, 0.126, 0.626).


Compound: TmPaGe2
Source: the Alexandria database
Functional: PBE
Structure: relaxed

The space group is P4/mmm (No. 123) and the conventional cell measures 3.326, 3.326 and 7.854 Å, with angles of 90.00, 90.00 and 90.00 degrees. The asymmetric unit holds Tm at (0.000, 0.000, 0.000), Pa at (0.000, 0.000, 0.500) and Ge at (0.500, 0.500, 0.247).

The calculation puts the relative energy among the computed polymorphs at 13.3 kJ per mole of atoms.


Compound: TmPaGe2
Source: the Alexandria database
Functional: PBE
Structure: relaxed

The space group is R-3m (No. 166, hexagonal axes) and the conventional cell measures 4.1669, 4.1669 and 19.7403 Å, with angles of 90.00, 90.00 and 120.00 degrees. The asymmetric unit holds Tm at (0.0000, 0.0000, 0.0000), Pa at (0.0000, 0.0000, 0.5000) and Ge at (0.0000, 0.0000, 0.2484).

The calculation puts the relative energy among the computed polymorphs at 0.0 kJ per mole of atoms.


Compound: Tm2PaGe
Source: the Alexandria database
Functional: PBE
Structure: relaxed

The space group is P4/mmm (No. 123) and the conventional cell measures 4.624, 4.624 and 4.452 Å, with angles of 90.00, 90.00 and 90.00 degrees. The asymmetric unit holds Tm at (0.000, 0.500, 0.000), Pa at (0.000, 0.000, 0.500) and Ge at (0.500, 0.500, 0.500).


Compound: UPaGe2
Source: the Alexandria database
Functional: PBE
Structure: relaxed

The space group is Fm-3m (No. 225) and the conventional cell measures 7.037, 7.037 and 7.037 Å, with angles of 90.00, 90.00 and 90.00 degrees. The asymmetric unit holds U at (0.000, 0.000, 0.000), Pa at (0.000, 0.000, 0.500) and Ge at (0.250, 0.250, 0.250).

The calculation puts the relative energy among the computed polymorphs at 4.3 kJ per mole of atoms.


Compound: UPaGe2
Source: the Alexandria database
Functional: PBE
Structure: relaxed

The space group is P4/mmm (No. 123) and the conventional cell measures 3.307, 3.307 and 7.916 Å, with angles of 90.00, 90.00 and 90.00 degrees. The asymmetric unit holds U at (0.000, 0.000, 0.000), Pa at (0.000, 0.000, 0.500) and Ge at (0.500, 0.500, 0.249).

The calculation puts the relative energy among the computed polymorphs at 0.0 kJ per mole of atoms.


Number 1: electronic total energy -7.66 eV/atom, total magnetic moment 0.26 μB/atom, calculated formation energy -440 meV per atom. Number 2: electronic total energy -7.97 eV/atom, total magnetic moment 0.47 μB/atom, calculated formation energy -97 meV per atom. Number 3: electronic total energy -7.48 eV/atom, total magnetic moment 0.00 μB/atom, calculated formation energy -415 meV per atom. Number 4: electronic total energy -5.60 eV/atom, total magnetic moment 0.25 μB/atom, calculated formation energy -107 meV per atom. Number 5: electronic total energy -6.45 eV/atom, total magnetic moment 0.00 μB/atom, calculated formation energy 42 meV per atom. Number 6: electronic total energy -5.50 eV/atom, total magnetic moment 0.00 μB/atom, calculated formation energy -229 meV per atom. Number 7: electronic total energy -6.49 eV/atom, total magnetic moment 0.31 μB/atom, calculated formation energy 6 meV per atom. Number 8: electronic total energy -6.57 eV/atom, total magnetic moment 0.00 μB/atom, calculated formation energy -80 meV per atom. Number 9: electronic total energy -5.16 eV/atom, total magnetic moment 0.00 μB/atom, calculated formation energy 114 meV per atom. Number 10: electronic total energy -7.13 eV/atom, total magnetic moment 0.00 μB/atom, calculated formation energy -495 meV per atom. Number 11: electronic total energy -6.41 eV/atom, total magnetic moment 0.00 μB/atom, calculated formation energy -609 meV per atom. Number 12: electronic total energy -6.24 eV/atom, total magnetic moment 0.00 μB/atom, calculated formation energy -437 meV per atom. Number 13: electronic total energy -6.89 eV/atom, total magnetic moment 0.10 μB/atom, calculated formation energy -465 meV per atom. Number 14: electronic total energy -6.79 eV/atom, total magnetic moment 0.00 μB/atom, calculated formation energy -560 meV per atom. Number 15: electronic total energy -5.56 eV/atom, total magnetic moment 0.07 μB/atom, calculated formation energy -158 meV per atom. Number 16: electronic total energy -6.27 eV/atom, total magnetic moment 0.00 μB/atom, calculated formation energy -473 meV per atom. Number 17: electronic total energy -6.41 eV/atom, total magnetic moment 0.00 μB/atom, calculated formation energy -611 meV per atom. Number 18: electronic total energy -5.92 eV/atom, total magnetic moment 0.00 μB/atom, calculated formation energy -161 meV per atom. Number 19: electronic total energy -7.69 eV/atom, total magnetic moment 0.71 μB/atom, calculated formation energy -182 meV per atom. Number 20: electronic total energy -7.73 eV/atom, total magnetic moment 0.72 μB/atom, calculated formation energy -227 meV per atom.